Compound: LiNi2P3O10
Source: the Alexandria database
Functional: GGA+U
Structure: optimized geometry

a b c (Å): 8.4692 4.6304 8.9999
angles (deg): 82.00 90.00 90.00
Last column: nearest neighbours and their distance in Å.
Fractional positions:
Li (0.5000, 0.0000, 0.0000)  4 O 2.01-2.10
Li (0.0000, 0.0000, 0.0000)  4 O 2.01-2.10
Ni (0.5694, 0.9639, 0.3363)  6 O 2.07-2.16
Ni (0.0694, 0.0361, 0.6637)  6 O 2.07-2.16
Ni (0.4306, 0.0361, 0.6637)  6 O 2.07-2.16
Ni (0.9306, 0.9639, 0.3363)  6 O 2.07-2.16
P (0.2500, 0.6022, 0.4653)  4 O 1.53-1.61
P (0.7500, 0.3978, 0.5347)  4 O 1.53-1.61
P (0.2500, 0.3294, 0.1789)  4 O 1.51-1.61
P (0.7500, 0.6706, 0.8211)  4 O 1.51-1.61
P (0.2500, 0.4621, 0.8541)  4 O 1.53-1.64
P (0.7500, 0.5379, 0.1459)  4 O 1.53-1.64
O (0.2500, 0.2953, 0.5553)  1 P 1.53
O (0.7500, 0.7047, 0.4447)  1 P 1.53
O (0.5976, 0.2277, 0.5141)  1 P 1.54
O (0.0976, 0.7723, 0.4859)  1 P 1.54
O (0.4024, 0.7723, 0.4859)  1 P 1.54
O (0.9024, 0.2277, 0.5141)  1 P 1.54
O (0.5981, 0.8424, 0.8122)  1 P 1.51
O (0.0981, 0.1576, 0.1878)  1 P 1.51
O (0.9013, 0.7116, 0.1603)  1 P 1.53
O (0.4013, 0.2884, 0.8397)  1 P 1.53
O (0.0987, 0.2884, 0.8397)  1 P 1.53
O (0.5987, 0.7116, 0.1603)  1 P 1.53
O (0.7500, 0.2327, 0.2390)  1 P 1.54
O (0.2500, 0.7673, 0.7610)  1 P 1.54
O (0.7500, 0.4349, 0.7101)  2 P 1.58-1.61
O (0.2500, 0.5651, 0.2899)  2 P 1.58-1.61
O (0.7500, 0.4484, 0.9754)  2 P 1.61-1.64
O (0.2500, 0.5516, 0.0246)  2 P 1.61-1.64
O (0.9019, 0.8424, 0.8122)  1 P 1.51
O (0.4019, 0.1576, 0.1878)  1 P 1.51

Fermi-level density of states (states/eV/atom): 0.000
DFT total energy (eV per cell): -209.70
Volume (A^3/atom): 10.9
Magnetic moment (μB per cell): 7.9